w.
# Hf2AlS

Crystalline Hf2AlS at its relaxed geometry (PBE, Alexandria).

```
data_Hf2AlS
_chemical_formula_sum 'Hf8 Al4 S4'
_cell_length_a 6.650
_cell_length_b 6.650
_cell_length_c 6.650
_cell_angle_alpha 90.00
_cell_angle_beta 90.00
_cell_angle_gamma 90.00
_symmetry_space_group_name_H-M 'F m -3 m'
_symmetry_Int_Tables_number 225
_symmetry_space_group_name_Hall '-F 4 2 3'
loop_
_atom_site_label
_atom_site_type_symbol
_atom_site_fract_x
_atom_site_fract_y
_atom_site_fract_z
_atom_site_occupancy
Hf1 Hf 0.250 0.250 0.250 1
Al1 Al 0.000 0.000 0.000 1
S1 S 0.000 0.000 0.500 1
```

=====

x.
# Hf2AlS

Crystalline Hf2AlS at its relaxed geometry (PBE, Alexandria).

```
data_Hf2AlS
_chemical_formula_sum 'Hf6 Al3 S3'
_cell_length_a 3.3246
_cell_length_b 3.3246
_cell_length_c 23.5444
_cell_angle_alpha 90.00
_cell_angle_beta 90.00
_cell_angle_gamma 120.00
_symmetry_space_group_name_H-M 'R 3 m'
_symmetry_Int_Tables_number 160
_symmetry_space_group_name_Hall 'R 3 -2"'
loop_
_atom_site_label
_atom_site_type_symbol
_atom_site_fract_x
_atom_site_fract_y
_atom_site_fract_z
_atom_site_occupancy
Hf1 Hf 0.0000 0.0000 0.0000 1
Hf2 Hf 0.0000 0.0000 0.1863 1
Al1 Al 0.0000 0.0000 0.4258 1
S1 S 0.0000 0.0000 0.5933 1
```

=====

y.
# Hf2AlS

Crystalline Hf2AlS at its relaxed geometry (PBE, Alexandria).

```
data_Hf2AlS
_chemical_formula_sum 'Hf6 Al3 S3'
_cell_length_a 3.4753
_cell_length_b 3.4753
_cell_length_c 21.9305
_cell_angle_alpha 90.00
_cell_angle_beta 90.00
_cell_angle_gamma 120.00
_symmetry_space_group_name_H-M 'R -3 m'
_symmetry_Int_Tables_number 166
_symmetry_space_group_name_Hall '-R 3 2"'
loop_
_atom_site_label
_atom_site_type_symbol
_atom_site_fract_x
_atom_site_fract_y
_atom_site_fract_z
_atom_site_occupancy
Hf1 Hf 0.0000 0.0000 0.2342 1
Al1 Al 0.0000 0.0000 0.0000 1
S1 S 0.0000 0.0000 0.5000 1
```

=====

Stability verdict: x, ahead by 0.104 eV/atom

=====

w.
# HfAl3S

Crystalline HfAl3S at its relaxed geometry (PBE, Alexandria).

```
data_HfAl3S
_chemical_formula_sum 'Hf1 Al3 S1'
_cell_length_a 4.625
_cell_length_b 4.625
_cell_length_c 4.625
_cell_angle_alpha 90.00
_cell_angle_beta 90.00
_cell_angle_gamma 90.00
_symmetry_space_group_name_H-M 'P m -3 m'
_symmetry_Int_Tables_number 221
_symmetry_space_group_name_Hall '-P 4 2 3'
loop_
_atom_site_label
_atom_site_type_symbol
_atom_site_fract_x
_atom_site_fract_y
_atom_site_fract_z
_atom_site_occupancy
Hf1 Hf 0.000 0.000 0.000 1
Al1 Al 0.000 0.500 0.500 1
S1 S 0.500 0.500 0.500 1
```

=====

x.
# HfAl3S

Crystalline HfAl3S at its relaxed geometry (PBE, Alexandria).

```
data_HfAl3S
_chemical_formula_sum 'Hf1 Al3 S1'
_cell_length_a 5.341
_cell_length_b 5.341
_cell_length_c 5.341
_cell_angle_alpha 90.00
_cell_angle_beta 90.00
_cell_angle_gamma 90.00
_symmetry_space_group_name_H-M 'P m -3 m'
_symmetry_Int_Tables_number 221
_symmetry_space_group_name_Hall '-P 4 2 3'
loop_
_atom_site_label
_atom_site_type_symbol
_atom_site_fract_x
_atom_site_fract_y
_atom_site_fract_z
_atom_site_occupancy
Hf1 Hf 0.000 0.000 0.000 1
Al1 Al 0.000 0.000 0.500 1
S1 S 0.500 0.500 0.500 1
```

=====

Stability verdict: w, ahead by 0.856 eV/atom

=====

w.
# HfAl3Sb

Crystalline HfAl3Sb at its relaxed geometry (PBE, Alexandria).

```
data_HfAl3Sb
_chemical_formula_sum 'Hf1 Al3 Sb1'
_cell_length_a 5.237
_cell_length_b 5.237
_cell_length_c 5.237
_cell_angle_alpha 90.00
_cell_angle_beta 90.00
_cell_angle_gamma 90.00
_symmetry_space_group_name_H-M 'P m -3 m'
_symmetry_Int_Tables_number 221
_symmetry_space_group_name_Hall '-P 4 2 3'
loop_
_atom_site_label
_atom_site_type_symbol
_atom_site_fract_x
_atom_site_fract_y
_atom_site_fract_z
_atom_site_occupancy
Hf1 Hf 0.000 0.000 0.000 1
Al1 Al 0.000 0.000 0.500 1
Sb1 Sb 0.500 0.500 0.500 1
```

=====

x.
# HfAl3Sb

Crystalline HfAl3Sb at its relaxed geometry (PBE, Alexandria).

```
data_HfAl3Sb
_chemical_formula_sum 'Hf1 Al3 Sb1'
_cell_length_a 5.117
_cell_length_b 5.117
_cell_length_c 5.117
_cell_angle_alpha 90.00
_cell_angle_beta 90.00
_cell_angle_gamma 90.00
_symmetry_space_group_name_H-M 'P m -3 m'
_symmetry_Int_Tables_number 221
_symmetry_space_group_name_Hall '-P 4 2 3'
loop_
_atom_site_label
_atom_site_type_symbol
_atom_site_fract_x
_atom_site_fract_y
_atom_site_fract_z
_atom_site_occupancy
Hf1 Hf 0.000 0.000 0.000 1
Al1 Al 0.000 0.500 0.500 1
Sb1 Sb 0.500 0.500 0.500 1
```

=====

Stability verdict: w, ahead by 0.193 eV/atom

=====

w.
# HfAl2Sb2

Crystalline HfAl2Sb2 at its relaxed geometry (PBE, Alexandria).

```
data_HfAl2Sb2
_chemical_formula_sum 'Hf2 Al4 Sb4'
_cell_length_a 7.558
_cell_length_b 7.558
_cell_length_c 3.927
_cell_angle_alpha 90.00
_cell_angle_beta 90.00
_cell_angle_gamma 90.00
_symmetry_space_group_name_H-M 'P 4/m b m'
_symmetry_Int_Tables_number 127
_symmetry_space_group_name_Hall '-P 4 2ab'
loop_
_atom_site_label
_atom_site_type_symbol
_atom_site_fract_x
_atom_site_fract_y
_atom_site_fract_z
_atom_site_occupancy
Hf1 Hf 0.000 0.000 0.000 1
Al1 Al 0.153 0.347 0.500 1
Sb1 Sb 0.152 0.652 0.000 1
```

=====

x.
# HfAl2Sb2

Crystalline HfAl2Sb2 at its relaxed geometry (PBE, Alexandria).

```
data_HfAl2Sb2
_chemical_formula_sum 'Hf2 Al4 Sb4'
_cell_length_a 3.777
_cell_length_b 3.777
_cell_length_c 15.987
_cell_angle_alpha 90.00
_cell_angle_beta 90.00
_cell_angle_gamma 90.00
_symmetry_space_group_name_H-M 'I 4/m m m'
_symmetry_Int_Tables_number 139
_symmetry_space_group_name_Hall '-I 4 2'
loop_
_atom_site_label
_atom_site_type_symbol
_atom_site_fract_x
_atom_site_fract_y
_atom_site_fract_z
_atom_site_occupancy
Hf1 Hf 0.000 0.000 0.000 1
Al1 Al 0.000 0.500 0.250 1
Sb1 Sb 0.000 0.000 0.403 1
```

=====

Stability verdict: x, ahead by 0.027 eV/atom

=====

w.
# Hf2AlSb2

Crystalline Hf2AlSb2 at its relaxed geometry (PBE, Alexandria).

```
data_Hf2AlSb2
_chemical_formula_sum 'Hf4 Al2 Sb4'
_cell_length_a 7.654
_cell_length_b 7.654
_cell_length_c 3.886
_cell_angle_alpha 90.00
_cell_angle_beta 90.00
_cell_angle_gamma 90.00
_symmetry_space_group_name_H-M 'P 4/m b m'
_symmetry_Int_Tables_number 127
_symmetry_space_group_name_Hall '-P 4 2ab'
loop_
_atom_site_label
_atom_site_type_symbol
_atom_site_fract_x
_atom_site_fract_y
_atom_site_fract_z
_atom_site_occupancy
Hf1 Hf 0.149 0.351 0.000 1
Al1 Al 0.000 0.000 0.000 1
Sb1 Sb 0.152 0.652 0.500 1
```

=====

x.
# Hf2AlSb2

Crystalline Hf2AlSb2 at its relaxed geometry (PBE, Alexandria).

```
data_Hf2AlSb2
_chemical_formula_sum 'Hf4 Al2 Sb4'
_cell_length_a 7.845
_cell_length_b 7.845
_cell_length_c 3.729
_cell_angle_alpha 90.00
_cell_angle_beta 90.00
_cell_angle_gamma 90.00
_symmetry_space_group_name_H-M 'P 4/m b m'
_symmetry_Int_Tables_number 127
_symmetry_space_group_name_Hall '-P 4 2ab'
loop_
_atom_site_label
_atom_site_type_symbol
_atom_site_fract_x
_atom_site_fract_y
_atom_site_fract_z
_atom_site_occupancy
Hf1 Hf 0.141 0.359 0.000 1
Al1 Al 0.000 0.000 0.500 1
Sb1 Sb 0.153 0.653 0.500 1
```

=====

Stability verdict: w, ahead by 0.157 eV/atom

=====

w.
# Hf2Al2Sb

Crystalline Hf2Al2Sb at its relaxed geometry (PBE, Alexandria).

```
data_Hf2Al2Sb
_chemical_formula_sum 'Hf4 Al4 Sb2'
_cell_length_a 7.181
_cell_length_b 7.181
_cell_length_c 3.889
_cell_angle_alpha 90.00
_cell_angle_beta 90.00
_cell_angle_gamma 90.00
_symmetry_space_group_name_H-M 'P 4/m b m'
_symmetry_Int_Tables_number 127
_symmetry_space_group_name_Hall '-P 4 2ab'
loop_
_atom_site_label
_atom_site_type_symbol
_atom_site_fract_x
_atom_site_fract_y
_atom_site_fract_z
_atom_site_occupancy
Hf1 Hf 0.177 0.323 0.000 1
Al1 Al 0.122 0.622 0.500 1
Sb1 Sb 0.000 0.000 0.500 1
```

=====

x.
# Hf2Al2Sb

Crystalline Hf2Al2Sb at its relaxed geometry (PBE, Alexandria).

```
data_Hf2Al2Sb
_chemical_formula_sum 'Hf4 Al4 Sb2'
_cell_length_a 7.296
_cell_length_b 7.296
_cell_length_c 4.076
_cell_angle_alpha 90.00
_cell_angle_beta 90.00
_cell_angle_gamma 90.00
_symmetry_space_group_name_H-M 'P 4/m b m'
_symmetry_Int_Tables_number 127
_symmetry_space_group_name_Hall '-P 4 2ab'
loop_
_atom_site_label
_atom_site_type_symbol
_atom_site_fract_x
_atom_site_fract_y
_atom_site_fract_z
_atom_site_occupancy
Hf1 Hf 0.157 0.343 0.000 1
Al1 Al 0.137 0.637 0.500 1
Sb1 Sb 0.000 0.000 0.000 1
```

=====

Stability verdict: x, ahead by 0.035 eV/atom